Na2Sb3AsPd4 | Alexandria | PBE | relaxed; formation energy (no corrections) = -413 meV per atom; raw total energy = -44.56 eV for the cell shown
1.0
-0.442 4.359 1.273
-4.245 0.058 -1.671
-3.802 -3.174 9.549
Na Sb As Pd
2 3 1 4
Direct
0.500 0.000 0.246 Na
0.000 0.500 0.754 Na
0.000 0.000 0.500 Sb
0.500 0.000 0.870 Sb
0.000 0.500 0.130 Sb
0.500 0.500 0.500 As
0.500 0.500 0.000 Pd
0.000 0.000 0.000 Pd
0.500 0.000 0.625 Pd
0.000 0.500 0.375 Pd